Entry 1:
TbZr3 | PBE | relaxed

The raw total energy comes out at -0.27604 hartree per atom. The value obtained for the formation energy is 0.056 eV/atom.

The structure belongs to space group Pmmn (No. 59, origin choice 2); the cell edges are 5.245, 6.626 and 5.757 Å and the angles 90.00°, 90.00° and 90.00°. The inequivalent atoms are Tb at (0.250, 0.250, 0.158), Zr at (0.250, 0.005, 0.660) and Zr at (0.250, 0.750, 0.188).

---

Entry 2:
GdTcNO | PBE | relaxed

The raw total energy comes out at -0.30228 hartree per atom. Its energy above the most stable polymorph in this dataset is 1.26 eV/f.u.

The structure belongs to space group Pmc2_1 (No. 26); the cell edges are 3.311, 5.768 and 5.766 Å and the angles 90.00°, 90.00° and 90.00°. The inequivalent atoms are Gd at (0.000, 0.232, 0.000), Tc at (0.500, 0.221, 0.477), N at (0.500, 0.025, 0.735) and O at (0.000, 0.428, 0.328).